1.
# Zn3Hg2

Zn3Hg2 after structural relaxation (GGA-PBE, the Alexandria database).

As for the energy of formation: 0.118 eV/atom.

The structure belongs to space group R-3m (No. 166, hexagonal axes); the cell edges are 3.3101, 3.3101 and 31.2572 Å and the angles 90.00°, 90.00° and 120.00°. The inequivalent atoms are Zn at (0.0000, 0.0000, 0.0000), Zn at (0.0000, 0.0000, 0.1961) and Hg at (0.0000, 0.0000, 0.4012).

=====

2.
# Sm4TmZn2

Sm4TmZn2 after structural relaxation (GGA-PBE, the Alexandria database).

As for the energy of formation: 0.117 eV/atom.

The structure belongs to space group R-3m (No. 166, hexagonal axes); the cell edges are 5.4535, 5.4535 and 25.0589 Å and the angles 90.00°, 90.00° and 120.00°. The inequivalent atoms are Sm at (0.0000, 0.0000, 0.1259), Sm at (0.0000, 0.0000, 0.2725), Tm at (0.0000, 0.0000, 0.5000) and Zn at (0.0000, 0.0000, 0.3899).

=====

3.
# NdMg2Bi

NdMg2Bi after structural relaxation (GGA-PBE, the Alexandria database).

As for the energy of formation: 0.142 eV/atom.

The structure belongs to space group R-3m (No. 166, hexagonal axes); the cell edges are 3.4301, 3.4301 and 35.0000 Å and the angles 90.00°, 90.00° and 120.00°. The inequivalent atoms are Nd at (0.0000, 0.0000, 0.0000), Mg at (0.0000, 0.0000, 0.0919) and Bi at (0.0000, 0.0000, 0.5000).

=====

4.
# Ho3ErCo

Ho3ErCo after structural relaxation (GGA-PBE, the Alexandria database).

As for the energy of formation: -0.003 eV/atom.

The structure belongs to space group Pm-3m (No. 221); the cell edges are 5.237, 5.237 and 5.237 Å and the angles 90.00°, 90.00° and 90.00°. The inequivalent atoms are Ho at (0.000, 0.000, 0.500), Er at (0.500, 0.500, 0.500) and Co at (0.000, 0.000, 0.000).

=====

5.
# Pr5DyEr3

Pr5DyEr3 after structural relaxation (GGA-PBE, the Alexandria database).

As for the energy of formation: 0.311 eV/atom.

The structure belongs to space group I4/mcm (No. 140); the cell edges are 9.364, 9.364 and 14.322 Å and the angles 90.00°, 90.00° and 90.00°. The inequivalent atoms are Pr at (0.000, 0.000, 0.000), Pr at (0.201, 0.299, 0.133), Dy at (0.000, 0.500, 0.250), Er at (0.000, 0.000, 0.250) and Er at (0.109, 0.391, 0.500).

=====

6.
# MnOsPb

MnOsPb after structural relaxation (GGA-PBE, the Alexandria database).

As for the energy of formation: 0.768 eV/atom.

The structure belongs to space group F-43m (No. 216); the cell edges are 6.285, 6.285 and 6.285 Å and the angles 90.00°, 90.00° and 90.00°. The inequivalent atoms are Mn at (0.000, 0.000, 0.000), Os at (0.250, 0.250, 0.750) and Pb at (0.000, 0.000, 0.500).

=====

7.
# ZrCrPb

ZrCrPb after structural relaxation (GGA-PBE, the Alexandria database).

As for the energy of formation: 0.437 eV/atom.

The structure belongs to space group F-43m (No. 216); the cell edges are 6.547, 6.547 and 6.547 Å and the angles 90.00°, 90.00° and 90.00°. The inequivalent atoms are Zr at (0.000, 0.000, 0.000), Cr at (0.250, 0.250, 0.250) and Pb at (0.000, 0.000, 0.500).

=====

8.
# NdZnCu2Pd4

NdZnCu2Pd4 after structural relaxation (GGA-PBE, the Alexandria database).

As for the energy of formation: -0.434 eV/atom.

The structure belongs to space group R-3m (No. 166, hexagonal axes); the cell edges are 4.3637, 4.3637 and 24.1936 Å and the angles 90.00°, 90.00° and 120.00°. The inequivalent atoms are Nd at (0.0000, 0.0000, 0.0000), Zn at (0.0000, 0.0000, 0.5000), Cu at (0.0000, 0.0000, 0.2436), Pd at (0.0000, 0.0000, 0.1295) and Pd at (0.0000, 0.0000, 0.3973).